## SiPSeS2 (meta-GGA SCAN)

Data for a PBEsol-optimized structure of SiPSeS2.

Cell and atoms, written as POSCAR:
```
SiPSeS2
1.0
4.347 0.000 0.000
0.000 4.347 0.000
0.000 0.000 4.684
P S Si Se
1 2 1 1
Direct
0.000 0.000 0.500
0.000 0.500 0.000
0.500 0.000 0.000
0.000 0.000 0.000
0.500 0.500 0.500
```

Output
The value obtained for the calculated density is 3.79 Mg/m³. The final energy is -11.315 eV/atom. The spin magnetization is 0.000 μB/f.u.